The following is a PBE calculation of a relaxed structure of TcSbBr2, from the Alexandria database.

spin magnetization = 3.5 μB per cell
ΔE to the lowest computed polymorph = 637 meV/atom
uncorrected formation energy = 646 meV per atom

a b c (Å): 3.334 5.955 7.667
angles (deg): 39.18 90.00 90.00
Each line ends with the local moment (μB).
Element x y z (fractional)
1 Sb 0.500 0.500 0.500  -0.03
2 Br 0.000 0.000 0.000  0.03
3 Br 0.500 0.500 0.000  0.04
4 Tc 0.000 0.000 0.500  3.04